The following is a DFT calculation (PBE) of a geometry-optimized Mn2CrP2 structure.

Unit cell a=6.473 b=6.473 c=2.672 alpha=90.00 beta=90.00 gamma=90.00
Space group P4/mbm (No. 127)
Unique sites:
Mn 0.144 0.356 0.000 [4 per cell]
Cr 0.000 0.000 0.500 [2 per cell]
P 0.156 0.656 0.500 [4 per cell]

Summary:
Total energy (eV per atom): -8.03
ΔE_f (kcal/mol of atoms): -6.20

---

The following is a DFT calculation (PBE) of a geometry-optimized TbPm2Cd8 structure.

Unit cell a=16.008 b=5.021 c=7.077 alpha=90.00 beta=107.14 gamma=90.00
Space group C2/m (No. 12)
Unique sites:
Tb 0.000 0.000 0.000 [2 per cell]
Pm 0.215 0.500 0.648 [4 per cell]
Cd 0.015 0.500 0.717 [4 per cell]
Cd 0.089 0.000 0.462 [4 per cell]
Cd 0.144 0.500 0.131 [4 per cell]
Cd 0.173 0.000 0.894 [4 per cell]

Summary:
Total energy (eV per atom): -2.20
ΔE_f (kcal/mol of atoms): -5.83

---

The following is a DFT calculation (PBE) of a geometry-optimized TbEr4Al structure.

Unit cell a=8.654 b=13.702 c=6.169 alpha=90.00 beta=108.48 gamma=90.00
Space group C2/c (No. 15)
Unique sites:
Tb 0.000 0.092 0.250 [4 per cell]
Er 0.100 0.315 0.544 [8 per cell]
Er 0.221 0.118 0.877 [8 per cell]
Al 0.000 0.499 0.750 [4 per cell]

Summary:
Total energy (eV per atom): -4.47
ΔE_f (kcal/mol of atoms): -0.87
Energy above the most stable polymorph in this dataset (meV/atom): 86.2

---

The following is a DFT calculation (PBE) of a geometry-optimized Li2Pm2TcO6 structure.

Unit cell a=5.845 b=10.384 c=5.185 alpha=90.00 beta=102.22 gamma=90.00
Space group C2/m (No. 12)
Unique sites:
Li 0.000 0.117 0.000 [4 per cell]
Pm 0.000 0.337 0.500 [4 per cell]
Tc 0.000 0.000 0.500 [2 per cell]
O 0.180 0.153 0.714 [8 per cell]
O 0.241 0.000 0.267 [4 per cell]

Summary:
Total energy (eV per atom): -7.20

---

The following is a DFT calculation (PBE) of a geometry-optimized MoSeCl2 structure.

Unit cell a=3.041 b=4.552 c=14.210 alpha=90.00 beta=90.00 gamma=90.00
Space group Immm (No. 71)
Unique sites:
Mo 0.000 0.000 0.000 [2 per cell]
Se 0.000 0.000 0.500 [2 per cell]
Cl 0.000 0.500 0.360 [4 per cell]

Summary:
Total energy (eV per atom): -4.75
Energy above the most stable polymorph in this dataset (meV/atom): 317.1

---

The following is a DFT calculation (PBE) of a geometry-optimized La6CdGa2 structure.

Unit cell a=10.245 b=10.267 c=10.977 alpha=90.00 beta=90.00 gamma=90.00
Space group Immm (No. 71)
Unique sites:
La 0.000 0.208 0.175 [8 per cell]
La 0.179 0.224 0.500 [8 per cell]
La 0.201 0.500 0.252 [8 per cell]
Cd 0.000 0.500 0.000 [2 per cell]
Cd 0.000 0.500 0.500 [2 per cell]
Ga 0.000 0.000 0.380 [4 per cell]
Ga 0.142 0.000 0.000 [4 per cell]

Summary:
Total energy (eV per atom): -4.39
ΔE_f (kcal/mol of atoms): -7.54